Entry 1:
! GGA-PBE MnRe2, optimized geometry; values from VASP
! DFT total energy, eV for the cell shown: -124.1
! Calculated volume, A^3/atom: 15.55
! Calculated formation energy, eV per atom: 1.01
&SYSTEM
  ibrav = 0, nat = 12, ntyp = 2
/
ATOMIC_SPECIES
Mn 54.94 Mn.upf
Re 186.21 Re.upf
ATOMIC_POSITIONS crystal
Mn 0.000 0.000 0.000
Mn 0.000 0.500 0.500
Mn 0.500 0.000 0.500
Mn 0.500 0.500 0.000
Re 0.126 0.626 0.874
Re 0.126 0.874 0.374
Re 0.374 0.126 0.874
Re 0.374 0.374 0.374
Re 0.626 0.626 0.626
Re 0.626 0.874 0.126
Re 0.874 0.126 0.626
Re 0.874 0.374 0.126
CELL_PARAMETERS angstrom
5.714 0.000 0.000
0.000 5.714 0.000
0.000 0.000 5.714

---

Entry 2:
! GGA-PBE Li2SmPaS4, optimized geometry; values from VASP
! DFT total energy, eV for the cell shown: -47.5
! Calculated volume, A^3/atom: 20.86
! Formation energy (no corrections), kJ/mol of atoms: -155.8
&SYSTEM
  ibrav = 0, nat = 8, ntyp = 4
/
ATOMIC_SPECIES
Li 6.94 Li.upf
Sm 150.36 Sm.upf
Pa 231.04 Pa.upf
S 32.06 S.upf
ATOMIC_POSITIONS crystal
Li 0.000 0.000 0.000
Li 0.000 0.500 0.500
Sm 0.500 0.000 0.500
Pa 0.500 0.500 0.000
S 0.241 0.000 0.751
S 0.241 0.500 0.238
S 0.759 0.000 0.249
S 0.759 0.500 0.762
CELL_PARAMETERS angstrom
6.651 0.000 0.000
0.000 3.901 0.000
-2.329 0.000 6.431

---

Entry 3:
! GGA-PBE KRb2AlF6, optimized geometry; values from VASP
! DFT total energy, eV for the cell shown: -49.8
! Calculated volume, A^3/atom: 17.09
! Formation energy (no corrections), kJ/mol of atoms: -306.8
&SYSTEM
  ibrav = 0, nat = 10, ntyp = 4
/
ATOMIC_SPECIES
K 39.10 K.upf
Rb 85.47 Rb.upf
Al 26.98 Al.upf
F 19.00 F.upf
ATOMIC_POSITIONS crystal
K 0.000 0.000 0.000
Rb 0.250 0.250 0.250
Rb 0.750 0.750 0.750
Al 0.500 0.500 0.500
F 0.291 0.291 0.709
F 0.291 0.709 0.291
F 0.291 0.709 0.709
F 0.709 0.291 0.291
F 0.709 0.291 0.709
F 0.709 0.709 0.291
CELL_PARAMETERS angstrom
0.000 4.404 4.404
4.404 0.000 4.404
4.404 4.404 0.000

---

Entry 4:
! GGA-PBE CaSm5Sb6, optimized geometry; values from VASP
! DFT total energy, eV for the cell shown: -63.6
! Calculated volume, A^3/atom: 31.84
! Formation energy (no corrections), kJ/mol of atoms: -106.8
&SYSTEM
  ibrav = 0, nat = 12, ntyp = 3
/
ATOMIC_SPECIES
Ca 40.08 Ca.upf
Sm 150.36 Sm.upf
Sb 121.76 Sb.upf
ATOMIC_POSITIONS crystal
Ca 0.000 0.000 0.000
Sm 0.166 0.834 0.500
Sm 0.333 0.667 0.000
Sm 0.500 0.500 0.500
Sm 0.667 0.333 0.000
Sm 0.834 0.166 0.500
Sb 0.084 0.420 0.251
Sb 0.252 0.252 0.749
Sb 0.420 0.084 0.251
Sb 0.580 0.916 0.749
Sb 0.748 0.748 0.251
Sb 0.916 0.580 0.749
CELL_PARAMETERS angstrom
3.875 -6.717 0.000
3.875 6.717 0.000
-2.586 0.000 7.341

---

Entry 5:
! GGA-PBE Pr4SeCl5, optimized geometry; values from VASP
! DFT total energy, eV for the cell shown: -50.5
! Calculated volume, A^3/atom: 30.28
! Formation energy (no corrections), kJ/mol of atoms: -179.6
&SYSTEM
  ibrav = 0, nat = 10, ntyp = 3
/
ATOMIC_SPECIES
Pr 140.91 Pr.upf
Se 78.96 Se.upf
Cl 35.45 Cl.upf
ATOMIC_POSITIONS crystal
Pr 0.002 0.002 0.266
Pr 0.342 0.342 0.413
Pr 0.658 0.658 0.587
Pr 0.998 0.998 0.734
Se 0.500 0.500 0.500
Cl 0.162 0.162 0.835
Cl 0.173 0.173 0.340
Cl 0.500 0.500 0.000
Cl 0.827 0.827 0.660
Cl 0.838 0.838 0.165
CELL_PARAMETERS angstrom
9.163 -2.024 0.000
9.163 2.024 0.000
-2.274 0.000 8.163

---

Entry 6:
! GGA-PBE MgAl8Cu6, optimized geometry; values from VASP
! DFT total energy, eV for the cell shown: -58.6
! Calculated volume, A^3/atom: 15.23
! Calculated formation energy, eV per atom: -0.17
&SYSTEM
  ibrav = 0, nat = 15, ntyp = 3
/
ATOMIC_SPECIES
Mg 24.30 Mg.upf
Al 26.98 Al.upf
Cu 63.55 Cu.upf
ATOMIC_POSITIONS crystal
Mg 0.000 0.000 0.000
Al 0.118 0.784 0.453
Al 0.216 0.547 0.882
Al 0.333 0.333 0.333
Al 0.453 0.118 0.784
Al 0.547 0.882 0.216
Al 0.667 0.667 0.667
Al 0.784 0.453 0.118
Al 0.882 0.216 0.547
Cu 0.051 0.392 0.711
Cu 0.289 0.949 0.608
Cu 0.392 0.711 0.051
Cu 0.608 0.289 0.949
Cu 0.711 0.051 0.392
Cu 0.949 0.608 0.289
CELL_PARAMETERS angstrom
3.640 2.101 4.980
-3.640 2.101 4.980
0.000 -4.203 4.980

---

Q: Which value of DFT total energy does entry 2 give?
A: -47.5 eV for the cell shown